# 1
DFT (PBE-GGA) results for Ho3CdPt4 after structural relaxation.

## Properties
The calculation puts the density of states at the Fermi level at 3.56 states/eV per cell. Its space group is Immm (71).

The structure in CIF format:
```
data_Ho3CdPt4
_chemical_formula_sum 'Ho3 Cd1 Pt4'
_cell_length_a 3.7529
_cell_length_b 6.5789
_cell_length_c 8.2843
_cell_angle_alpha 113.37
_cell_angle_beta 103.09
_cell_angle_gamma 90.00
_space_group_name_H-M_alt 'P 1'
_space_group_IT_number 1
_space_group_name_Hall 'P 1'
loop_
_atom_site_label
_atom_site_fract_x
_atom_site_fract_y
_atom_site_fract_z
Pt1 0.3712 0.5734 0.7424
Pt2 0.6288 0.4266 0.2576
Pt3 0.6288 0.8308 0.2576
Pt4 0.3712 0.1692 0.7424
Ho1 0.1931 0.1930 0.3862
Ho2 0.8069 0.8070 0.6138
Ho3 0.0000 0.5000 0.0000
Cd1 0.5000 0.0000 0.0000
```



# 2
DFT (PBE-GGA) results for ReMoOs2Pt after structural relaxation.

## Properties
The calculation puts the density of states at the Fermi level at 8.31 states/eV per cell. Its space group is P4/mmm (123).

The structure in CIF format:
```
data_ReMoOs2Pt
_chemical_formula_sum 'Re1 Mo1 Os2 Pt1'
_cell_length_a 4.6762
_cell_length_b 4.6530
_cell_length_c 4.6762
_cell_angle_alpha 90.00
_cell_angle_beta 90.00
_cell_angle_gamma 90.00
_space_group_name_H-M_alt 'P 1'
_space_group_IT_number 1
_space_group_name_Hall 'P 1'
loop_
_atom_site_label
_atom_site_fract_x
_atom_site_fract_y
_atom_site_fract_z
Os1 0.0000 0.0000 0.5000
Os2 0.5000 0.0000 0.0000
Re1 0.5000 0.5000 0.5000
Mo1 0.0000 0.5000 0.0000
Pt1 0.0000 0.0000 0.0000
```



# 3
DFT (PBE-GGA) results for MgTi3Cu after structural relaxation.

## Properties
For the energy above the lowest structure with this stoichiometry, the calculation gives 0.0 meV per atom. The calculation puts the density of states at the Fermi level at 11.97 states/eV per cell. Its space group is Pm-3m (221).

The structure in CIF format:
```
data_MgTi3Cu
_chemical_formula_sum 'Mg1 Ti3 Cu1'
_cell_length_a 4.6605
_cell_length_b 4.6605
_cell_length_c 4.6605
_cell_angle_alpha 90.00
_cell_angle_beta 90.00
_cell_angle_gamma 90.00
_space_group_name_H-M_alt 'P 1'
_space_group_IT_number 1
_space_group_name_Hall 'P 1'
loop_
_atom_site_label
_atom_site_fract_x
_atom_site_fract_y
_atom_site_fract_z
Ti1 0.5000 0.0000 0.0000
Ti2 0.0000 0.0000 0.5000
Ti3 0.0000 0.5000 0.0000
Cu1 0.0000 0.0000 0.0000
Mg1 0.5000 0.5000 0.5000
```



Going through the records in order, we get energy of formation from the pure elements values of -0.953 2.712 0.608 eV/atom.